DFT (PBE) results for LaTa2Se after structural relaxation.

The value obtained for the density of states at the Fermi level is 2.38 states/eV/cell. For the raw formation energy, the calculation gives -216 meV/atom. The value obtained for the size of the total moment is 0.000 μB per cell.

The structure belongs to space group P4mm (No. 99); the cell edges are 3.4143, 3.4143 and 7.5280 Å and the angles 90.00°, 90.00° and 90.00°. The asymmetric unit holds La at (0.0000, 0.0000, 0.0000), Ta at (0.0000, 0.0000, 0.5150), Ta at (0.5000, 0.5000, 0.7136) and Se at (0.5000, 0.5000, 0.3267).